Here is La2CdInCo after structural relaxation from Alexandria. Energies are from GGA-PBE.

Results
Raw total energy in eV per atom: -4.397
Total magnetic moment in μB per formula unit: 0.0
Space group: No. 123
V in Å³ per atom: 27.56
E_form in eV per atom: -0.274
Excess energy over the best structure of this formula in the dataset in eV per formula unit: 0.134

The structure in CIF format:
```
data_La2CdInCo
_chemical_formula_sum 'La2 Cd1 In1 Co1'
_symmetry_space_group_name_H-M 'P 1'
_symmetry_Int_Tables_number 1
_cell_length_a 5.1895
_cell_length_b 5.1895
_cell_length_c 5.1159
_cell_angle_alpha 90.00
_cell_angle_beta 90.00
_cell_angle_gamma 90.00
loop_
_symmetry_equiv_pos_as_xyz
'x,y,z'
loop_
_atom_site_label
_atom_site_type_symbol
_atom_site_fract_x
_atom_site_fract_y
_atom_site_fract_z
La1 La 0.0000 0.5000 0.0000
La2 La 0.5000 0.0000 0.0000
Cd1 Cd 0.0000 0.0000 0.5000
In1 In 0.5000 0.5000 0.5000
Co1 Co 0.0000 0.0000 0.0000
```

Here is LaCdIn2Co after structural relaxation from Alexandria. Energies are from GGA-PBE.

Results
Raw total energy in eV per atom: -3.871
Total magnetic moment in μB per formula unit: 0.0
Space group: No. 123
V in Å³ per atom: 24.37
E_form in eV per atom: -0.186
Excess energy over the best structure of this formula in the dataset in eV per formula unit: 0.381

The structure in CIF format:
```
data_LaCdIn2Co
_chemical_formula_sum 'La1 Cd1 In2 Co1'
_symmetry_space_group_name_H-M 'P 1'
_symmetry_Int_Tables_number 1
_cell_length_a 4.9310
_cell_length_b 4.9310
_cell_length_c 5.0117
_cell_angle_alpha 90.00
_cell_angle_beta 90.00
_cell_angle_gamma 90.00
loop_
_symmetry_equiv_pos_as_xyz
'x,y,z'
loop_
_atom_site_label
_atom_site_type_symbol
_atom_site_fract_x
_atom_site_fract_y
_atom_site_fract_z
La1 La 0.0000 0.0000 0.0000
Cd1 Cd 0.5000 0.5000 0.0000
In1 In 0.0000 0.5000 0.5000
In2 In 0.5000 0.0000 0.5000
Co1 Co 0.5000 0.5000 0.5000
```

Here is NaCdIn2Co after structural relaxation from Alexandria. Energies are from GGA-PBE.

Results
Raw total energy in eV per atom: -2.959
Total magnetic moment in μB per formula unit: 0.0
Space group: No. 123
V in Å³ per atom: 24.90
E_form in eV per atom: 0.005

The structure in CIF format:
```
data_NaCdIn2Co
_chemical_formula_sum 'Na1 Cd1 In2 Co1'
_symmetry_space_group_name_H-M 'P 1'
_symmetry_Int_Tables_number 1
_cell_length_a 4.9386
_cell_length_b 4.9386
_cell_length_c 5.1039
_cell_angle_alpha 90.00
_cell_angle_beta 90.00
_cell_angle_gamma 90.00
loop_
_symmetry_equiv_pos_as_xyz
'x,y,z'
loop_
_atom_site_label
_atom_site_type_symbol
_atom_site_fract_x
_atom_site_fract_y
_atom_site_fract_z
Na1 Na 0.0000 0.0000 0.0000
Cd1 Cd 0.5000 0.5000 0.0000
In1 In 0.0000 0.5000 0.5000
In2 In 0.5000 0.0000 0.5000
Co1 Co 0.5000 0.5000 0.5000
```

Here is CdInCoNi after structural relaxation from Alexandria. Energies are from GGA-PBE.

Results
Raw total energy in eV per atom: -4.020
Total magnetic moment in μB per formula unit: 1.2
Space group: No. 216
V in Å³ per atom: 15.47
E_form in eV per atom: 0.115

The structure in CIF format:
```
data_CdInCoNi
_chemical_formula_sum 'Cd4 In4 Co4 Ni4'
_symmetry_space_group_name_H-M 'P 1'
_symmetry_Int_Tables_number 1
_cell_length_a 6.2788
_cell_length_b 6.2788
_cell_length_c 6.2788
_cell_angle_alpha 90.00
_cell_angle_beta 90.00
_cell_angle_gamma 90.00
loop_
_symmetry_equiv_pos_as_xyz
'x,y,z'
loop_
_atom_site_label
_atom_site_type_symbol
_atom_site_fract_x
_atom_site_fract_y
_atom_site_fract_z
Cd1 Cd 0.0000 0.0000 0.0000
Cd2 Cd 0.0000 0.5000 0.5000
Cd3 Cd 0.5000 0.0000 0.5000
Cd4 Cd 0.5000 0.5000 0.0000
In1 In 0.0000 0.0000 0.5000
In2 In 0.0000 0.5000 0.0000
In3 In 0.5000 0.0000 0.0000
In4 In 0.5000 0.5000 0.5000
Co1 Co 0.2500 0.2500 0.2500
Co2 Co 0.2500 0.7500 0.7500
Co3 Co 0.7500 0.2500 0.7500
Co4 Co 0.7500 0.7500 0.2500
Ni1 Ni 0.2500 0.2500 0.7500
Ni2 Ni 0.2500 0.7500 0.2500
Ni3 Ni 0.7500 0.2500 0.2500
Ni4 Ni 0.7500 0.7500 0.7500
```

Here is SrCdInCoP after structural relaxation from Alexandria. Energies are from GGA-PBE.

Results
Raw total energy in eV per atom: -3.808
Total magnetic moment in μB per formula unit: 0.0
Space group: No. 1
V in Å³ per atom: 24.71
E_form in eV per atom: -0.238
Excess energy over the best structure of this formula in the dataset in eV per formula unit: 0.478

The structure in CIF format:
```
data_SrCdInCoP
_chemical_formula_sum 'Sr1 Cd1 In1 Co1 P1'
_symmetry_space_group_name_H-M 'P 1'
_symmetry_Int_Tables_number 1
_cell_length_a 3.7330
_cell_length_b 4.8805
_cell_length_c 7.5475
_cell_angle_alpha 83.39
_cell_angle_beta 75.75
_cell_angle_gamma 68.02
loop_
_symmetry_equiv_pos_as_xyz
'x,y,z'
loop_
_atom_site_label
_atom_site_type_symbol
_atom_site_fract_x
_atom_site_fract_y
_atom_site_fract_z
Sr1 Sr 0.0000 0.0000 0.0000
Cd1 Cd 0.4526 0.4230 0.6832
In1 In 0.2589 0.0146 0.4674
Co1 Co 0.6025 0.4901 0.3175
P1 P 0.2056 0.4100 0.1894
```

Here is SrCdInCoP after structural relaxation from Alexandria. Energies are from GGA-PBE.

Results
Raw total energy in eV per atom: -3.903
Total magnetic moment in μB per formula unit: 0.0
Space group: No. 160
V in Å³ per atom: 22.85
E_form in eV per atom: -0.333
Excess energy over the best structure of this formula in the dataset in eV per formula unit: 0.004

The structure in CIF format:
```
data_SrCdInCoP
_chemical_formula_sum 'Sr3 Cd3 In3 Co3 P3'
_symmetry_space_group_name_H-M 'P 1'
_symmetry_Int_Tables_number 1
_cell_length_a 3.8597
_cell_length_b 3.8597
_cell_length_c 26.5644
_cell_angle_alpha 90.00
_cell_angle_beta 90.00
_cell_angle_gamma 120.00
loop_
_symmetry_equiv_pos_as_xyz
'x,y,z'
loop_
_atom_site_label
_atom_site_type_symbol
_atom_site_fract_x
_atom_site_fract_y
_atom_site_fract_z
Sr1 Sr 0.0000 0.0000 0.0000
Sr2 Sr 0.3333 0.6667 0.6667
Sr3 Sr 0.6667 0.3333 0.3333
Cd1 Cd 0.0000 0.0000 0.5672
Cd2 Cd 0.3333 0.6667 0.2339
Cd3 Cd 0.6667 0.3333 0.9006
In1 In 0.0000 0.0000 0.1525
In2 In 0.3333 0.6667 0.8192
In3 In 0.6667 0.3333 0.4858
Co1 Co 0.0000 0.0000 0.4231
Co2 Co 0.3333 0.6667 0.0897
Co3 Co 0.6667 0.3333 0.7564
P1 P 0.0000 0.0000 0.7467
P2 P 0.3333 0.6667 0.4133
P3 P 0.6667 0.3333 0.0800
```